A relaxed structure of HfHI2N, computed with PBE-GGA.

Unit cell a=5.2018 b=5.2018 c=3.2821 alpha=90.00 beta=90.00 gamma=90.00
Last column: nearest neighbours and their distance in Å.
Positions (direct):
Hf (0.0000, 0.0000, 0.0000)  8 I 3.08, 2 Hf 3.28
H (0.5000, 0.5000, 0.5000)  2 N 1.64
I (0.0000, 0.5000, 0.5000)  2 H 2.60
I (0.5000, 0.0000, 0.5000)  2 H 2.60
N (0.5000, 0.5000, 0.0000)  2 H 1.64

Properties
**Calculated volume**: 17.762 Å³ per atom
**Mass density**: 8.36 Mg/m³
**M_tot**: 0.00 μB per formula unit
**SG**: No. 123
**E_tot**: -3.855 eV per atom

=====

A relaxed structure of KSiPS2, computed with PBE-GGA.

Unit cell a=5.3501 b=5.3501 c=5.2127 alpha=90.00 beta=90.00 gamma=90.00
Last column: nearest neighbours and their distance in Å.
Positions (direct):
K (0.0000, 0.0000, 0.0000)  2 P 2.61, 4 S 2.68
Si (0.5000, 0.5000, 0.5000)  8 S 3.73, 4 P 3.78
P (0.0000, 0.0000, 0.5000)  2 K 2.61
S (0.0000, 0.5000, 0.0000)  2 K 2.68
S (0.5000, 0.0000, 0.0000)  2 K 2.68

Properties
**Calculated volume**: 29.841 Å³ per atom
**Mass density**: 1.81 Mg/m³
**M_tot**: 1.85 μB per formula unit
**SG**: No. 123
**Raw formation energy**: 1.7249 eV/atom

=====

A relaxed structure of SrPdI3, computed with PBE-GGA.

Unit cell a=6.3792 b=6.3792 c=6.3792 alpha=90.00 beta=90.00 gamma=90.00
Last column: nearest neighbours and their distance in Å.
Positions (direct):
Sr (0.0000, 0.0000, 0.0000)  6 I 3.19
Pd (0.5000, 0.5000, 0.5000)  12 I 4.51
I (0.0000, 0.0000, 0.5000)  2 Sr 3.19
I (0.0000, 0.5000, 0.0000)  2 Sr 3.19
I (0.5000, 0.0000, 0.0000)  2 Sr 3.19

Properties
**Calculated volume**: 51.918 Å³ per atom
**Mass density**: 3.68 Mg/m³
**M_tot**: 1.00 μB per formula unit
**SG**: No. 221
**Raw formation energy**: -0.2816 eV/atom

=====

A relaxed structure of CaZnGa2Pt4, computed with PBE-GGA.

Unit cell a=8.9994 b=8.9994 c=8.9994 alpha=27.83 beta=27.83 gamma=27.83
Last column: nearest neighbours and their distance in Å.
Positions (direct):
Ca (0.0000, 0.0000, 0.0000)  8 Pt 3.10-3.44, 6 Ga 3.39
Zn (0.5000, 0.5000, 0.5000)  8 Pt 2.49-2.65
Ga (0.2453, 0.2453, 0.2453)  6 Pt 2.54-2.75
Ga (0.7547, 0.7547, 0.7547)  6 Pt 2.54-2.75
Pt (0.1325, 0.1325, 0.1325)  3 Zn 2.65, 4 Ga 2.75-2.93, 3 Pt 2.97
Pt (0.4041, 0.4041, 0.4041)  1 Zn 2.49, 3 Ga 2.54
Pt (0.5959, 0.5959, 0.5959)  1 Zn 2.49, 3 Ga 2.54
Pt (0.8675, 0.8675, 0.8675)  3 Zn 2.65, 4 Ga 2.75-2.93, 3 Pt 2.97

Properties
**Calculated volume**: 17.533 Å³ per atom
**Mass density**: 12.14 Mg/m³
**M_tot**: 0.00 μB per formula unit
**SG**: No. 166
**E_tot**: -4.860 eV per atom

=====

A relaxed structure of HfCdTe2N, computed with PBE-GGA.

Unit cell a=5.7752 b=5.7752 c=4.0002 alpha=90.00 beta=90.00 gamma=90.00
Last column: nearest neighbours and their distance in Å.
Positions (direct):
Hf (0.0000, 0.0000, 0.0000)  2 N 2.00
Cd (0.5000, 0.5000, 0.5000)  8 Te 3.51
Te (0.0000, 0.5000, 0.0000)  2 Hf 2.89
Te (0.5000, 0.0000, 0.0000)  2 Hf 2.89
N (0.0000, 0.0000, 0.5000)  2 Hf 2.00

Properties
**Calculated volume**: 26.684 Å³ per atom
**Mass density**: 6.97 Mg/m³
**M_tot**: 0.00 μB per formula unit
**SG**: No. 123
**Raw formation energy**: -0.0503 eV/atom

=====

A relaxed structure of CuNi2Ir, computed with PBE-GGA.

Unit cell a=2.6455 b=2.6455 c=6.9378 alpha=90.00 beta=90.00 gamma=90.00
Last column: nearest neighbours and their distance in Å.
Positions (direct):
Cu (0.0000, 0.0000, 0.0000)  8 Ni 2.52, 4 Cu 2.65
Ni (0.5000, 0.5000, 0.2444)  4 Cu 2.52, 4 Ir 2.58, 4 Ni 2.65
Ni (0.5000, 0.5000, 0.7556)  4 Cu 2.52, 4 Ir 2.58, 4 Ni 2.65
Ir (0.0000, 0.0000, 0.5000)  8 Ni 2.58, 4 Ir 2.65

Properties
**Calculated volume**: 12.139 Å³ per atom
**Mass density**: 12.76 Mg/m³
**M_tot**: 0.11 μB per formula unit
**SG**: No. 123
**E_tot**: -6.095 eV per atom

=====

A relaxed structure of Na2NpZnO6, computed with PBE-GGA.

Unit cell a=5.6088 b=5.6673 c=9.7096 alpha=90.00 beta=125.08 gamma=90.00
Last column: nearest neighbours and their distance in Å.
Positions (direct):
Na (0.2410, 0.0351, 0.2480)  4 O 2.41-2.56
Na (0.2410, 0.4649, 0.7480)  4 O 2.41-2.56
Na (0.7590, 0.5351, 0.2520)  4 O 2.41-2.56
Na (0.7590, 0.9649, 0.7520)  4 O 2.41-2.56
Np (0.5000, 0.0000, 0.0000)  6 O 1.99-2.01
Np (0.5000, 0.5000, 0.5000)  6 O 1.99-2.01
Zn (0.0000, 0.0000, 0.5000)  6 O 2.08-2.11
Zn (0.0000, 0.5000, 0.0000)  6 O 2.08-2.11
O (0.1735, 0.2038, 0.9603)  1 Np 2.01, 1 Zn 2.08
O (0.1735, 0.2962, 0.4603)  1 Np 2.01, 1 Zn 2.08
O (0.2570, 0.7159, 0.9562)  1 Np 1.99, 1 Zn 2.11
O (0.2570, 0.7841, 0.4562)  1 Np 1.99, 1 Zn 2.11
O (0.3352, 0.0224, 0.7544)  1 Np 2.01, 1 Zn 2.08
O (0.3352, 0.4776, 0.2544)  1 Np 2.01, 1 Zn 2.08
O (0.6648, 0.5224, 0.7456)  1 Np 2.01, 1 Zn 2.08
O (0.6648, 0.9776, 0.2456)  1 Np 2.01, 1 Zn 2.08
O (0.7430, 0.2159, 0.5438)  1 Np 1.99, 1 Zn 2.11
O (0.7430, 0.2841, 0.0438)  1 Np 1.99, 1 Zn 2.11
O (0.8265, 0.7038, 0.5397)  1 Np 2.01, 1 Zn 2.08
O (0.8265, 0.7962, 0.0397)  1 Np 2.01, 1 Zn 2.08

Properties
**Calculated volume**: 12.629 Å³ per atom
**Mass density**: 5.84 Mg/m³
**M_tot**: 0.00 μB per formula unit
**SG**: No. 14
**Raw formation energy**: -1.9079 eV/atom

=====

A relaxed structure of Zr5PtRh2, computed with PBE-GGA.

Unit cell a=8.4108 b=8.4108 c=8.4108 alpha=132.17 beta=132.17 gamma=69.97
Last column: nearest neighbours and their distance in Å.
Positions (direct):
Zr (0.0000, 0.0000, 0.0000)  4 Rh 2.64
Zr (0.0125, 0.5125, 0.8296)  3 Rh 2.83-2.95, 2 Pt 2.88, 1 Zr 3.15
Zr (0.1829, 0.0125, 0.5000)  3 Rh 2.83-2.95, 2 Pt 2.88, 1 Zr 3.15
Zr (0.3171, 0.8171, 0.8296)  3 Rh 2.83-2.95, 2 Pt 2.88, 1 Zr 3.15
Zr (0.4875, 0.3171, 0.5000)  3 Rh 2.83-2.95, 2 Pt 2.88, 1 Zr 3.15
Zr (0.5000, 0.5000, 0.0000)  4 Rh 2.64
Zr (0.5125, 0.6829, 0.5000)  3 Rh 2.83-2.95, 2 Pt 2.88, 1 Zr 3.15
Zr (0.6829, 0.1829, 0.1704)  3 Rh 2.83-2.95, 2 Pt 2.88, 1 Zr 3.15
Zr (0.8171, 0.9875, 0.5000)  3 Rh 2.83-2.95, 2 Pt 2.88, 1 Zr 3.15
Zr (0.9875, 0.4875, 0.1704)  3 Rh 2.83-2.95, 2 Pt 2.88, 1 Zr 3.15
Pt (0.2500, 0.2500, 0.0000)  8 Zr 2.88
Pt (0.7500, 0.7500, 0.0000)  8 Zr 2.88
Rh (0.1379, 0.3621, 0.5000)  8 Zr 2.64-2.95, 1 Rh 2.66
Rh (0.3621, 0.8621, 0.2242)  8 Zr 2.64-2.95, 1 Rh 2.66
Rh (0.6379, 0.1379, 0.7758)  8 Zr 2.64-2.95, 1 Rh 2.66
Rh (0.8621, 0.6379, 0.5000)  8 Zr 2.64-2.95, 1 Rh 2.66

Properties
**Calculated volume**: 20.030 Å³ per atom
**Mass density**: 8.88 Mg/m³
**M_tot**: 0.00 μB per formula unit
**SG**: No. 140
**E_tot**: -8.574 eV per atom